1.
Fe2PW after structural relaxation. Source: the Alexandria database, functional PBE-GGA.

Unit cell a=4.5698 b=4.5698 c=4.5698 alpha=134.36 beta=134.36 gamma=66.52
With the nearest neighbours (Å) after each atom.
Fractional coordinates of all 4 atoms:
Fe: 0.0000 0.0000 0.0000  4 W 2.51, 4 Fe 2.61, 4 P 2.61
Fe: 0.7500 0.2500 0.5000  4 P 2.51, 4 Fe 2.61, 4 W 2.61
P: 0.2500 0.7500 0.5000  8 Fe 2.51-2.61, 4 W 2.61
W: 0.5000 0.5000 0.0000  8 Fe 2.51-2.61, 4 P 2.61

Computed properties:
symmetry: I-4m2
energy relative to the elements: 0.0148 eV per atom
energy: -35.23 eV/cell

***

2.
PuTaTcRu after structural relaxation. Source: the Alexandria database, functional PBE-GGA.

Unit cell a=4.6228 b=4.6228 c=4.6228 alpha=60.00 beta=60.00 gamma=60.00
With the nearest neighbours (Å) after each atom.
Fractional coordinates of all 4 atoms:
Pu: 0.0000 0.0000 0.0000  4 Tc 2.83, 4 Ru 2.83
Ta: 0.5000 0.5000 0.5000  4 Ru 2.83, 4 Tc 2.83
Tc: 0.2500 0.2500 0.2500  4 Ta 2.83, 4 Pu 2.83
Ru: 0.7500 0.7500 0.7500  4 Ta 2.83, 4 Pu 2.83

Computed properties:
symmetry: F-43m
energy relative to the elements: -0.1427 eV per atom
energy: -46.40 eV/cell

***

3.
BC2 after structural relaxation. Source: the Alexandria database, functional PBE-GGA.

Unit cell a=2.5648 b=2.5648 c=13.3295 alpha=90.00 beta=90.00 gamma=120.00
With the nearest neighbours (Å) after each atom.
Fractional coordinates of all 12 atoms:
B: 0.3333 0.6667 0.3588  4 C 1.61-1.66
B: 0.3333 0.6667 0.9615  1 C 1.58
B: 0.6667 0.3333 0.0385  1 C 1.58
B: 0.6667 0.3333 0.6412  4 C 1.61-1.66
C: 0.0000 0.0000 0.1972  4 C 1.52-1.57
C: 0.0000 0.0000 0.3111  1 C 1.52, 3 B 1.61
C: 0.0000 0.0000 0.6889  1 C 1.52, 3 B 1.61
C: 0.0000 0.0000 0.8028  4 C 1.52-1.57
C: 0.3333 0.6667 0.4835  3 C 1.55, 1 B 1.66
C: 0.3333 0.6667 0.8430  3 C 1.57, 1 B 1.58
C: 0.6667 0.3333 0.1570  3 C 1.57, 1 B 1.58
C: 0.6667 0.3333 0.5165  3 C 1.55, 1 B 1.66

Computed properties:
symmetry: P-3m1
energy relative to the elements: 0.3231 eV per atom
excess energy over the best structure of this formula in the dataset: 0.0832 eV per atom
energy: -96.62 eV/cell

***

4.
Re2PtBr after structural relaxation. Source: the Alexandria database, functional PBE-GGA.

Unit cell a=5.1240 b=5.1240 c=4.6816 alpha=94.91 beta=94.91 gamma=32.57
With the nearest neighbours (Å) after each atom.
Fractional coordinates of all 4 atoms:
Re: 0.0000 0.0000 0.0000  2 Br 2.58, 4 Re 2.68-2.87, 2 Pt 2.86
Re: 0.7194 0.7194 0.1918  1 Br 2.60, 2 Pt 2.66, 4 Re 2.68-2.87
Pt: 0.2710 0.2710 0.7345  6 Re 2.66-2.92, 1 Br 2.68, 2 Pt 2.87
Br: 0.4982 0.4982 0.4581  3 Re 2.58-2.60, 1 Pt 2.68, 2 Br 2.87

Computed properties:
symmetry: Cm
energy relative to the elements, uncorrected: 0.8648 eV/atom
excess energy over the best structure of this formula in the dataset: 0.4831 eV per atom
energy: -29.15 eV/cell

***

5.
HoPPt4 after structural relaxation. Source: the Alexandria database, functional PBE-GGA.

Unit cell a=7.9187 b=7.9187 c=6.7560 alpha=90.00 beta=90.00 gamma=151.26
With the nearest neighbours (Å) after each atom.
Fractional coordinates of all 12 atoms:
Ho: 0.1017 0.8983 0.7500  9 Pt 2.82-3.03, 2 P 3.12
Ho: 0.8983 0.1017 0.2500  9 Pt 2.82-3.03, 2 P 3.12
P: 0.2402 0.7598 0.2500  3 Pt 2.28-2.42
P: 0.7598 0.2402 0.7500  3 Pt 2.28-2.42
Pt: 0.0822 0.9178 0.2500  1 P 2.42
Pt: 0.3177 0.6823 0.5386  1 P 2.28
Pt: 0.3177 0.6823 0.9614  1 P 2.28
Pt: 0.5000 0.5000 0.0000  6 Pt 2.81-2.88, 4 Ho 3.02
Pt: 0.5000 0.5000 0.5000  6 Pt 2.81-2.88, 4 Ho 3.02
Pt: 0.6823 0.3177 0.0386  1 P 2.28
Pt: 0.6823 0.3177 0.4614  1 P 2.28
Pt: 0.9178 0.0822 0.7500  1 P 2.42

Computed properties:
symmetry: Cmcm
energy relative to the elements: -0.8116 eV per atom
energy: -78.04 eV/cell

***

Number 1: total moment 1.13 μB per cell. Number 2: total moment 4.33 μB per cell. Number 3: total moment 0.00 μB per cell. Number 4: total moment 0.00 μB per cell. Number 5: total moment 0.00 μB per cell.